Entry 1:
A geometry-optimized PuMg2MoO8 structure. Source: Alexandria via LeMat-Bulk, functional PBE with a Hubbard U.

Results
As for the total energy: -80.14 eV/cell. The density of states at the Fermi level comes out at 5.61 states/eV/f.u.

abc: 4.525 4.525 9.240
angles: 90.00 90.00 120.00
Site moments in Bohr magnetons follow the coordinates.
Element x y z (fractional)
1 O 0.034 0.695 0.363  -0.10
2 O 0.305 0.339 0.363  -0.10
3 O 0.333 0.667 0.958  -0.26
4 O 0.339 0.034 0.637  -0.10
5 O 0.695 0.661 0.637  -0.10
6 O 0.667 0.333 0.042  -0.26
7 O 0.661 0.966 0.363  -0.10
8 O 0.966 0.305 0.637  -0.10
9 Pu 0.000 0.000 0.500  -0.29
10 Mg 0.667 0.333 0.252  0.00
11 Mg 0.333 0.667 0.748  0.00
12 Mo 0.000 0.000 0.000  3.23


Entry 2:
A geometry-optimized Rb2Th3MgMo8O32 structure. Source: Alexandria via LeMat-Bulk, functional PBE with a Hubbard U.

Results
As for the total energy: -682.47 eV/cell. The density of states at the Fermi level comes out at 0.00 states/eV/f.u.

abc: 13.218 13.218 9.609
angles: 89.94 89.94 88.43
Element x y z (fractional)
1 O 0.709 0.641 0.553
2 O 0.197 0.144 0.928
3 O 0.153 0.546 0.413
4 O 0.623 0.269 0.151
5 O 0.764 0.199 0.932
6 O 0.912 0.742 0.849
7 O 0.242 0.414 0.158
8 O 0.080 0.387 0.578
9 O 0.131 0.376 0.867
10 O 0.414 0.242 0.658
11 O 0.037 0.116 0.665
12 O 0.116 0.037 0.165
13 O 0.199 0.764 0.432
14 O 0.258 0.088 0.651
15 O 0.513 0.335 0.416
16 O 0.427 0.458 0.638
17 O 0.088 0.258 0.151
18 O 0.613 0.920 0.922
19 O 0.943 0.328 0.370
20 O 0.871 0.024 0.537
21 O 0.758 0.586 0.842
22 O 0.335 0.513 0.916
23 O 0.487 0.665 0.584
24 O 0.742 0.912 0.349
25 O 0.976 0.129 0.963
26 O 0.704 0.062 0.713
27 O 0.236 0.801 0.068
28 O 0.359 0.291 0.947
29 O 0.665 0.487 0.084
30 O 0.731 0.377 0.349
31 O 0.624 0.869 0.633
32 O 0.269 0.623 0.651
33 O 0.328 0.943 0.870
34 O 0.454 0.847 0.087
35 O 0.024 0.871 0.037
36 O 0.938 0.296 0.787
37 O 0.869 0.624 0.133
38 O 0.291 0.359 0.447
39 O 0.387 0.080 0.078
40 O 0.847 0.454 0.587
41 O 0.977 0.518 0.795
42 O 0.377 0.731 0.849
43 O 0.062 0.704 0.213
44 O 0.057 0.672 0.630
45 O 0.296 0.938 0.287
46 O 0.542 0.573 0.862
47 O 0.482 0.023 0.705
48 O 0.856 0.803 0.572
49 O 0.801 0.236 0.568
50 O 0.641 0.709 0.053
51 O 0.672 0.057 0.130
52 O 0.458 0.427 0.138
53 O 0.518 0.977 0.295
54 O 0.376 0.131 0.367
55 O 0.884 0.963 0.835
56 O 0.144 0.197 0.428
57 O 0.963 0.884 0.335
58 O 0.546 0.153 0.913
59 O 0.023 0.482 0.205
60 O 0.129 0.976 0.463
61 O 0.920 0.613 0.422
62 O 0.803 0.856 0.072
63 O 0.573 0.542 0.362
64 O 0.586 0.758 0.342
65 Mo 0.393 0.030 0.253
66 Mo 0.411 0.348 0.538
67 Mo 0.905 0.857 0.950
68 Mo 0.607 0.970 0.747
69 Mo 0.348 0.411 0.038
70 Mo 0.170 0.650 0.530
71 Mo 0.652 0.589 0.962
72 Mo 0.350 0.830 0.970
73 Mo 0.030 0.393 0.753
74 Mo 0.830 0.350 0.470
75 Mo 0.970 0.607 0.247
76 Mo 0.143 0.095 0.550
77 Mo 0.650 0.170 0.030
78 Mo 0.095 0.143 0.050
79 Mo 0.857 0.905 0.450
80 Mo 0.589 0.652 0.462
81 Th 0.870 0.130 0.750
82 Th 0.369 0.130 0.841
83 Th 0.130 0.870 0.250
84 Th 0.870 0.631 0.659
85 Th 0.130 0.369 0.341
86 Th 0.631 0.870 0.159
87 Rb 0.623 0.141 0.434
88 Rb 0.377 0.859 0.566
89 Rb 0.859 0.377 0.066
90 Rb 0.141 0.623 0.934
91 Mg 0.410 0.590 0.750
92 Mg 0.590 0.410 0.250


What did the second record say?
A geometry-optimized Rb2Th3MgMo8O32 structure. Source: Alexandria via LeMat-Bulk, functional PBE with a Hubbard U.

Results
As for the total energy: -682.47 eV/cell. The density of states at the Fermi level comes out at 0.00 states/eV/f.u.

abc: 13.218 13.218 9.609
angles: 89.94 89.94 88.43
Element x y z (fractional)
1 O 0.709 0.641 0.553
2 O 0.197 0.144 0.928
3 O 0.153 0.546 0.413
4 O 0.623 0.269 0.151
5 O 0.764 0.199 0.932
6 O 0.912 0.742 0.849
7 O 0.242 0.414 0.158
8 O 0.080 0.387 0.578
9 O 0.131 0.376 0.867
10 O 0.414 0.242 0.658
11 O 0.037 0.116 0.665
12 O 0.116 0.037 0.165
13 O 0.199 0.764 0.432
14 O 0.258 0.088 0.651
15 O 0.513 0.335 0.416
16 O 0.427 0.458 0.638
17 O 0.088 0.258 0.151
18 O 0.613 0.920 0.922
19 O 0.943 0.328 0.370
20 O 0.871 0.024 0.537
21 O 0.758 0.586 0.842
22 O 0.335 0.513 0.916
23 O 0.487 0.665 0.584
24 O 0.742 0.912 0.349
25 O 0.976 0.129 0.963
26 O 0.704 0.062 0.713
27 O 0.236 0.801 0.068
28 O 0.359 0.291 0.947
29 O 0.665 0.487 0.084
30 O 0.731 0.377 0.349
31 O 0.624 0.869 0.633
32 O 0.269 0.623 0.651
33 O 0.328 0.943 0.870
34 O 0.454 0.847 0.087
35 O 0.024 0.871 0.037
36 O 0.938 0.296 0.787
37 O 0.869 0.624 0.133
38 O 0.291 0.359 0.447
39 O 0.387 0.080 0.078
40 O 0.847 0.454 0.587
41 O 0.977 0.518 0.795
42 O 0.377 0.731 0.849
43 O 0.062 0.704 0.213
44 O 0.057 0.672 0.630
45 O 0.296 0.938 0.287
46 O 0.542 0.573 0.862
47 O 0.482 0.023 0.705
48 O 0.856 0.803 0.572
49 O 0.801 0.236 0.568
50 O 0.641 0.709 0.053
51 O 0.672 0.057 0.130
52 O 0.458 0.427 0.138
53 O 0.518 0.977 0.295
54 O 0.376 0.131 0.367
55 O 0.884 0.963 0.835
56 O 0.144 0.197 0.428
57 O 0.963 0.884 0.335
58 O 0.546 0.153 0.913
59 O 0.023 0.482 0.205
60 O 0.129 0.976 0.463
61 O 0.920 0.613 0.422
62 O 0.803 0.856 0.072
63 O 0.573 0.542 0.362
64 O 0.586 0.758 0.342
65 Mo 0.393 0.030 0.253
66 Mo 0.411 0.348 0.538
67 Mo 0.905 0.857 0.950
68 Mo 0.607 0.970 0.747
69 Mo 0.348 0.411 0.038
70 Mo 0.170 0.650 0.530
71 Mo 0.652 0.589 0.962
72 Mo 0.350 0.830 0.970
73 Mo 0.030 0.393 0.753
74 Mo 0.830 0.350 0.470
75 Mo 0.970 0.607 0.247
76 Mo 0.143 0.095 0.550
77 Mo 0.650 0.170 0.030
78 Mo 0.095 0.143 0.050
79 Mo 0.857 0.905 0.450
80 Mo 0.589 0.652 0.462
81 Th 0.870 0.130 0.750
82 Th 0.369 0.130 0.841
83 Th 0.130 0.870 0.250
84 Th 0.870 0.631 0.659
85 Th 0.130 0.369 0.341
86 Th 0.631 0.870 0.159
87 Rb 0.623 0.141 0.434
88 Rb 0.377 0.859 0.566
89 Rb 0.859 0.377 0.066
90 Rb 0.141 0.623 0.934
91 Mg 0.410 0.590 0.750
92 Mg 0.590 0.410 0.250


- Number 2 is which compound?
  Rb2Th3MgMo8O32